1.
# PBE NaTc, relaxed
# energy relative to the lowest polymorph listed for this composition = 0.3509 eV/atom
# total DFT energy (no corrections) = -5.063 eV per atom
# calculated formation energy = 0.7791 eV per atom
data_NaTc
_symmetry_space_group_name_H-M 'C m m m'
_symmetry_Int_Tables_number 65
_symmetry_space_group_name_Hall '-C 2 2'
_cell_length_a 3.124
_cell_length_b 4.144
_cell_length_c 5.365
_cell_angle_alpha 90.00
_cell_angle_beta 90.00
_cell_angle_gamma 90.00
loop_
_atom_site_label
_atom_site_type_symbol
_atom_site_fract_x
_atom_site_fract_y
_atom_site_fract_z
Na1 Na 0.000 0.000 0.000
Tc1 Tc 0.000 0.500 0.500

2.
# PBE Na3Tc, relaxed
# energy relative to the lowest polymorph listed for this composition = 0.0003 eV/atom
# total DFT energy (no corrections) = -2.590 eV per atom
# calculated formation energy = 0.9909 eV per atom
data_Na3Tc
_symmetry_space_group_name_H-M 'I 4/m m m'
_symmetry_Int_Tables_number 139
_symmetry_space_group_name_Hall '-I 4 2'
_cell_length_a 4.754
_cell_length_b 4.754
_cell_length_c 9.334
_cell_angle_alpha 90.00
_cell_angle_beta 90.00
_cell_angle_gamma 90.00
loop_
_atom_site_label
_atom_site_type_symbol
_atom_site_fract_x
_atom_site_fract_y
_atom_site_fract_z
Na1 Na 0.000 0.000 0.000
Na2 Na 0.000 0.500 0.250
Tc1 Tc 0.000 0.000 0.500

3.
# PBE NaTc, relaxed
# energy relative to the lowest polymorph listed for this composition = 0.0094 eV/atom
# total DFT energy (no corrections) = -5.405 eV per atom
# calculated formation energy = 0.4376 eV per atom
data_NaTc
_symmetry_space_group_name_H-M 'P 1'
_symmetry_Int_Tables_number 1
_symmetry_space_group_name_Hall 'P 1'
_cell_length_a 2.858
_cell_length_b 2.858
_cell_length_c 10.699
_cell_angle_alpha 90.27
_cell_angle_beta 90.31
_cell_angle_gamma 120.00
loop_
_atom_site_label
_atom_site_type_symbol
_atom_site_fract_x
_atom_site_fract_y
_atom_site_fract_z
Na1 Na 0.000 0.000 0.000
Na2 Na 0.363 0.694 0.691
Tc1 Tc 0.345 0.676 0.252
Tc2 Tc 0.685 0.349 0.437

4.
# PBE NaTc, relaxed
# energy relative to the lowest polymorph listed for this composition = 2.3860 eV/atom
# total DFT energy (no corrections) = -3.028 eV per atom
# calculated formation energy = 2.8142 eV per atom
data_NaTc
_symmetry_space_group_name_H-M 'P m -3 n'
_symmetry_Int_Tables_number 223
_symmetry_space_group_name_Hall '-P 4n 2 3'
_cell_length_a 8.512
_cell_length_b 8.512
_cell_length_c 8.512
_cell_angle_alpha 90.00
_cell_angle_beta 90.00
_cell_angle_gamma 90.00
loop_
_atom_site_label
_atom_site_type_symbol
_atom_site_fract_x
_atom_site_fract_y
_atom_site_fract_z
Na1 Na 0.000 0.250 0.500
Tc1 Tc 0.000 0.500 0.250

5.
# PBE NaTc, relaxed
# energy relative to the lowest polymorph listed for this composition = 0.6100 eV/atom
# total DFT energy (no corrections) = -4.804 eV per atom
# calculated formation energy = 1.0383 eV per atom
data_NaTc
_symmetry_space_group_name_H-M 'F d d d'
_symmetry_Int_Tables_number 70
_cell_length_a 5.652
_cell_length_b 8.236
_cell_length_c 13.900
_cell_angle_alpha 90.00
_cell_angle_beta 90.00
_cell_angle_gamma 90.00
loop_
_symmetry_equiv_pos_as_xyz
'x,y,z'
'-x,-y,-z'
'-x+1/4,-y+1/4,z'
'x+1/4,y+1/4,-z'
'x,-y+1/4,-z+1/4'
'-x,y+1/4,z+1/4'
'-x+1/4,y,-z+1/4'
'x+1/4,-y,z+1/4'
'x,y+1/2,z+1/2'
'-x,-y+1/2,-z+1/2'
'-x+1/4,-y+3/4,z+1/2'
'x+1/4,y+3/4,-z+1/2'
'x,-y+3/4,-z+3/4'
'-x,y+3/4,z+3/4'
'-x+1/4,y+1/2,-z+3/4'
'x+1/4,-y+1/2,z+3/4'
'x+1/2,y,z+1/2'
'-x+1/2,-y,-z+1/2'
'-x+3/4,-y+1/4,z+1/2'
'x+3/4,y+1/4,-z+1/2'
'x+1/2,-y+1/4,-z+3/4'
'-x+1/2,y+1/4,z+3/4'
'-x+3/4,y,-z+3/4'
'x+3/4,-y,z+3/4'
'x+1/2,y+1/2,z'
'-x+1/2,-y+1/2,-z'
'-x+3/4,-y+3/4,z'
'x+3/4,y+3/4,-z'
'x+1/2,-y+3/4,-z+1/4'
'-x+1/2,y+3/4,z+1/4'
'-x+3/4,y+1/2,-z+1/4'
'x+3/4,-y+1/2,z+1/4'
loop_
_atom_site_label
_atom_site_type_symbol
_atom_site_fract_x
_atom_site_fract_y
_atom_site_fract_z
Na1 Na 0.125 0.279 0.125
Tc1 Tc 0.125 0.125 0.545

6.
# PBE NaTc, relaxed
# energy relative to the lowest polymorph listed for this composition = 2.1417 eV/atom
# total DFT energy (no corrections) = -3.273 eV per atom
# calculated formation energy = 2.5699 eV per atom
data_NaTc
_symmetry_space_group_name_H-M 'P 63/m m c'
_symmetry_Int_Tables_number 194
_symmetry_space_group_name_Hall '-P 6c 2c'
_cell_length_a 5.1694
_cell_length_b 5.1694
_cell_length_c 5.9173
_cell_angle_alpha 90.00
_cell_angle_beta 90.00
_cell_angle_gamma 120.00
loop_
_atom_site_label
_atom_site_type_symbol
_atom_site_fract_x
_atom_site_fract_y
_atom_site_fract_z
Na1 Na 0.3333 0.6667 0.2500
Tc1 Tc 0.3333 0.6667 0.7500